Record 1
9
Lattice="7.704 0.000 0.000 -3.852 6.672 0.000 0.000 0.000 4.076" Properties=species:S:1:pos:R:3 comment="LaPm2Ge6 PBE-GGA relaxed" space_group="P6/mmm (191)" volume_a3_per_cell=210 ef_mev_per_atom=-601 pbc="T T T"
La 0.000 0.000 0.000
Pm 0.000 4.448 0.000
Pm 3.852 2.224 0.000
Ge -1.295 2.243 2.038
Ge -2.557 4.429 2.038
Ge 2.590 0.000 2.038
Ge 1.295 2.243 2.038
Ge 5.114 0.000 2.038
Ge 2.557 4.429 2.038

---

Record 2
6
Lattice="0.000 4.062 4.062 4.062 0.000 4.062 4.062 4.062 0.000" Properties=species:S:1:pos:R:3 comment="LaPmGe4 PBE-GGA relaxed" space_group="F-43m (216)" de_polymorph_mev_per_atom=135 volume_a3_per_cell=134 ef_mev_per_atom=-410 pbc="T T T"
La 0.000 0.000 0.000
Pm 6.093 6.093 6.093
Ge 3.066 3.066 3.066
Ge 5.058 5.058 3.066
Ge 5.058 3.066 5.058
Ge 3.066 5.058 5.058

---

Record 3
6
Lattice="4.494 0.000 0.000 0.000 4.494 0.000 0.000 0.000 8.422" Properties=species:S:1:pos:R:3 comment="LaPm3Ge2 PBE-GGA relaxed" space_group="P-4m2 (115)" de_polymorph_mev_per_atom=15 volume_a3_per_cell=170 ef_mev_per_atom=-563 pbc="T T T"
La 0.000 0.000 0.000
Pm 0.000 2.247 3.036
Pm 2.247 0.000 5.386
Pm 2.247 2.247 0.000
Ge 0.000 2.247 6.068
Ge 2.247 0.000 2.354

---

Record 4
12
Lattice="4.104 0.000 0.000 -2.052 3.554 0.000 0.000 0.000 27.943" Properties=species:S:1:pos:R:3 comment="LaPm2Ge PBE-GGA relaxed" space_group="R3m (160)" de_polymorph_mev_per_atom=194 volume_a3_per_cell=408 ef_mev_per_atom=-257 pbc="T T T"
La 0.000 0.000 0.000
La 0.000 2.369 18.629
La 2.052 1.185 9.314
Pm 0.000 0.000 6.411
Pm 0.000 0.000 12.338
Pm 0.000 2.369 3.023
Pm 0.000 2.369 25.039
Pm 2.052 1.185 15.725
Pm 2.052 1.185 21.652
Ge 0.000 0.000 23.365
Ge 0.000 2.369 14.051
Ge 2.052 1.185 4.737